# 1
A crystal of CaTlPb relaxed with PBEsol. Source: Alexandria, functional meta-GGA SCAN.

Properties
- space-group type = Cm
- ΔE to the lowest computed polymorph (kJ/mol of atoms) = 5.4

POSCAR file:
```
CaTlPb
1.0
-0.4267 2.7765 -2.8733
-3.4465 1.2081 1.6761
4.6458 1.5272 3.6101
Tl Ca Pb
1 1 1
direct
0.3237 0.3237 0.6482
0.9976 0.9976 0.9955
0.6786 0.6786 0.3563
```

# 2
A crystal of CaTlPb relaxed with PBEsol. Source: Alexandria, functional meta-GGA SCAN.

Properties
- space-group type = Imm2
- ΔE to the lowest computed polymorph (kJ/mol of atoms) = 4.5

POSCAR file:
```
CaTlPb
1.0
3.7685 0.0000 0.0000
0.0000 4.4149 0.0000
-1.8842 -2.2075 5.2052
Pb Tl Ca
1 1 1
direct
0.6750 0.6750 0.3500
0.3263 0.3263 0.6527
0.9986 0.9986 0.9973
```

Number 1: spin magnetization 0.00 μB/f.u.. Number 2: spin magnetization 0.00 μB/f.u..